Entry 1:
A geometry-optimized RbNaIn2Sn2 structure, computed with PBE.

abc: 4.9949 4.9949 9.2755
angles: 90.00 90.00 120.00
Closest atoms and distances in Å follow each position.
Positions (direct):
Rb  0.0000  0.0000  0.0000  6 Sn 3.84
Na  0.0000  0.0000  0.5000  6 In 3.17
In  0.3333  0.6667  0.6413  3 Sn 2.99, 3 Na 3.17
In  0.6667  0.3333  0.3587  3 Sn 2.99, 3 Na 3.17
Sn  0.3333  0.6667  0.2727  3 In 2.99
Sn  0.6667  0.3333  0.7273  3 In 2.99

Summary:
DFT total energy in eV/cell: -16.73
N(E_F) in states/eV/cell: 2.015
SG: No. 164

Entry 2:
A geometry-optimized TmLuRu4 structure, computed with PBE.

abc: 5.2900 5.2900 5.2900
angles: 60.00 60.00 60.00
Closest atoms and distances in Å follow each position.
Positions (direct):
Tm  0.0000  0.0000  0.0000  12 Ru 3.10, 4 Lu 3.24
Lu  0.7500  0.7500  0.7500  12 Ru 3.10, 4 Tm 3.24
Ru  0.3750  0.3750  0.3750  6 Ru 2.64-2.65
Ru  0.3750  0.3750  0.8749  6 Ru 2.64-2.65
Ru  0.3750  0.8749  0.3750  6 Ru 2.64-2.65
Ru  0.8749  0.3750  0.3750  6 Ru 2.64-2.65

Summary:
DFT total energy in eV/cell: -48.24
N(E_F) in states/eV/cell: 6.508
SG: No. 216

Entry 3:
A geometry-optimized NaV3Rh structure, computed with PBE.

abc: 4.7920 4.7920 4.7920
angles: 90.00 90.00 90.00
Closest atoms and distances in Å follow each position.
Positions (direct):
Na  0.0000  0.0000  0.0000  12 V 3.39
V  0.0000  0.5000  0.5000  2 Rh 2.40
V  0.5000  0.0000  0.5000  2 Rh 2.40
V  0.5000  0.5000  0.0000  2 Rh 2.40
Rh  0.5000  0.5000  0.5000  6 V 2.40

Summary:
Offset from the most stable computed form in eV/f.u.: 0.00
DFT total energy in eV/cell: -31.07
N(E_F) in states/eV/cell: 5.967
SG: No. 221

Entry 4:
A geometry-optimized KNaNpBr6 structure, computed with PBE.

abc: 7.5478 7.5478 14.1904
angles: 90.00 90.00 120.00
Closest atoms and distances in Å follow each position.
Positions (direct):
K  0.0000  0.0000  0.0000  6 Br 3.37
K  0.0000  0.0000  0.5000  6 Br 3.37
Na  0.3333  0.6667  0.2500  6 Br 3.01
Na  0.6667  0.3333  0.7500  6 Br 3.01
Np  0.3333  0.6667  0.7500  6 Br 2.78
Np  0.6667  0.3333  0.2500  6 Br 2.78
Br  0.0234  0.3759  0.6366  1 Np 2.78, 1 Na 3.01
Br  0.0234  0.6475  0.8634  1 Np 2.78, 1 Na 3.01
Br  0.3525  0.3759  0.8634  1 Np 2.78, 1 Na 3.01
Br  0.3525  0.9766  0.6366  1 Np 2.78, 1 Na 3.01
Br  0.3759  0.0234  0.1366  1 Np 2.78, 1 Na 3.01
Br  0.3759  0.3525  0.3634  1 Np 2.78, 1 Na 3.01
Br  0.6241  0.6475  0.6366  1 Np 2.78, 1 Na 3.01
Br  0.6241  0.9766  0.8634  1 Np 2.78, 1 Na 3.01
Br  0.6475  0.0234  0.3634  1 Np 2.78, 1 Na 3.01
Br  0.6475  0.6241  0.1366  1 Np 2.78, 1 Na 3.01
Br  0.9766  0.3525  0.1366  1 Np 2.78, 1 Na 3.01
Br  0.9766  0.6241  0.3634  1 Np 2.78, 1 Na 3.01

Summary:
DFT total energy in eV/cell: -76.93
N(E_F) in states/eV/cell: 9.541
Formation energy (no corrections) in eV/atom: -1.452
SG: No. 163